The following is a PBE calculation of Mg2TlHg after structural relaxation, from the Alexandria database.

Results
symmetry	P4/mmm
raw total energy	-1.585	eV per atom
ΔE_f	-121	meV per atom

The structure in POSCAR format:
```
Mg2TlHg
1.0
-1.7387 2.6737 3.8526
-3.4174 -0.3034 -1.3318
-0.6501 -4.2070 2.6262
Mg Hg Tl
2 1 1
direct
0.5000 0.1255 0.3746
0.0000 0.1249 0.8752
0.5000 0.6242 0.8750
0.0000 0.6254 0.3752
```

The following is a PBE calculation of Ba2AlFe after structural relaxation, from the Alexandria database.

Results
symmetry	F-43m
raw total energy	-3.495	eV per atom
ΔE_f	518	meV per atom

The structure in POSCAR format:
```
Ba2AlFe
1.0
-1.4248 3.3501 4.1113
2.5394 -0.3767 4.8544
3.4296 3.9710 1.6201
Fe Al Ba
1 1 2
direct
0.7500 0.7500 0.7500
0.5000 0.5000 0.5000
0.0000 0.0000 0.0000
0.2500 0.2500 0.2500
```

Repeat the first record exactly.
The following is a PBE calculation of Mg2TlHg after structural relaxation, from the Alexandria database.

Results
symmetry	P4/mmm
raw total energy	-1.585	eV per atom
ΔE_f	-121	meV per atom

The structure in POSCAR format:
```
Mg2TlHg
1.0
-1.7387 2.6737 3.8526
-3.4174 -0.3034 -1.3318
-0.6501 -4.2070 2.6262
Mg Hg Tl
2 1 1
direct
0.5000 0.1255 0.3746
0.0000 0.1249 0.8752
0.5000 0.6242 0.8750
0.0000 0.6254 0.3752
```